(1)
Entry from the Alexandria database: crystalline Ca4LaZr at its relaxed geometry (PBE).

Cell and atoms, written as extended XYZ:
```
6
Lattice="0.0000 4.8306 4.8306 4.8306 0.0000 4.8306 4.8306 4.8306 0.0000" Properties=species:S:1:pos:R:3 pbc="T T T"
Ca 3.6290 3.6290 3.6290
Ca 6.0321 6.0321 3.6290
Ca 6.0321 3.6290 6.0321
Ca 3.6290 6.0321 6.0321
La 0.0000 0.0000 0.0000
Zr 7.2458 7.2458 7.2458
```

Calculated values
space-group type = F-43m
ρ = 2.88 g cm⁻³
total DFT energy (no corrections) = -18.53 eV for the cell shown


(2)
Entry from the Alexandria database: crystalline CaAlCr at its relaxed geometry (PBE).

Cell and atoms, written as extended XYZ:
```
3
Lattice="3.3425 0.0000 0.0000 -1.6713 2.8947 0.0000 0.0000 0.0000 7.0825" Properties=species:S:1:pos:R:3 pbc="T T T"
Ca 0.0000 0.0000 0.0000
Al 0.0000 1.9298 4.5231
Cr 1.6713 0.9649 2.6425
```

Calculated values
space-group type = P3m1
ρ = 2.88 g cm⁻³
total DFT energy (no corrections) = -13.84 eV for the cell shown


(3)
Entry from the Alexandria database: crystalline Ce2PrErN4 at its relaxed geometry (PBE).

Cell and atoms, written as extended XYZ:
```
8
Lattice="6.1605 0.0000 0.0000 0.0000 3.5618 0.0000 -2.0617 0.0000 5.8354" Properties=species:S:1:pos:R:3 pbc="T T T"
Ce 0.0000 0.0000 0.0000
Ce -1.0309 1.7809 2.9177
Pr 2.0494 0.0000 2.9177
Er 3.0803 1.7809 0.0000
N 0.9870 1.7809 1.3724
N -0.0395 0.0000 4.4319
N 4.1383 0.0000 1.4035
N 3.1119 1.7809 4.4630
```

Calculated values
space-group type = P2/m
ρ = 8.36 g cm⁻³
uncorrected formation energy = -12.02 eV/f.u.
total DFT energy (no corrections) = -66.53 eV for the cell shown